## Ac2Ge4IrPd3 (GGA-PBE)

Data for a geometry-optimized Ac2Ge4IrPd3 structure.

Values from the calculation:
Volume, Å³/atom: 20.51
Fermi-level density of states, states/eV/atom: 0.61
Total energy, eV/atom: -5.902
SG: No. 115
Formation energy from the elements, eV per formula unit: -7.9

Unit cell a=4.451 b=4.451 c=10.351 alpha=90.00 beta=90.00 gamma=90.00
Element x y z (fractional)
1 Ac 0.000 0.500 0.247
2 Ac 0.500 0.000 0.753
3 Ge 0.000 0.000 0.000
4 Ge 0.000 0.500 0.621
5 Ge 0.500 0.000 0.379
6 Ge 0.500 0.500 0.000
7 Ir 0.000 0.000 0.500
8 Pd 0.000 0.500 0.869
9 Pd 0.500 0.000 0.131
10 Pd 0.500 0.500 0.500

## BaSc2Si (GGA-PBE)

Data for a geometry-optimized BaSc2Si structure.

Values from the calculation:
Formation energy from raw total energies, meV per atom: -87
Volume, Å³/atom: 27.67
Fermi-level density of states, states/eV/atom: 1.03
Total energy, eV/atom: -5.089
SG: No. 65

Unit cell a=4.667 b=5.158 c=9.195 alpha=90.00 beta=90.00 gamma=90.00
Element x y z (fractional)
1 Ba 0.000 0.000 0.000
2 Ba 0.500 0.500 0.000
3 Sc 0.000 0.500 0.337
4 Sc 0.000 0.500 0.663
5 Sc 0.500 0.000 0.337
6 Sc 0.500 0.000 0.663
7 Si 0.000 0.000 0.500
8 Si 0.500 0.500 0.500

## AcAlZnPt2 (GGA-PBE)

Data for a geometry-optimized AcAlZnPt2 structure.

Values from the calculation:
Volume, Å³/atom: 20.79
Fermi-level density of states, states/eV/atom: 0.61
Total energy, eV/atom: -5.195
SG: No. 119
Formation energy from the elements, eV per formula unit: -4.8

Unit cell a=4.245 b=4.245 c=11.539 alpha=90.00 beta=90.00 gamma=90.00
Element x y z (fractional)
1 Ac 0.000 0.000 0.000
2 Ac 0.500 0.500 0.500
3 Al 0.000 0.500 0.250
4 Al 0.500 0.000 0.750
5 Zn 0.000 0.500 0.750
6 Zn 0.500 0.000 0.250
7 Pt 0.000 0.000 0.378
8 Pt 0.000 0.000 0.622
9 Pt 0.500 0.500 0.122
10 Pt 0.500 0.500 0.878

## PmSm4Hg5 (GGA-PBE)

Data for a geometry-optimized PmSm4Hg5 structure.

Values from the calculation:
Volume, Å³/atom: 27.40
Fermi-level density of states, states/eV/atom: 1.24
Total energy, eV/atom: -2.986
SG: No. 123
Formation energy from the elements, eV per formula unit: -4.7

Unit cell a=3.807 b=3.807 c=18.900 alpha=90.00 beta=90.00 gamma=90.00
Element x y z (fractional)
1 Pm 0.000 0.000 0.000
2 Sm 0.000 0.000 0.201
3 Sm 0.000 0.000 0.400
4 Sm 0.000 0.000 0.600
5 Sm 0.000 0.000 0.799
6 Hg 0.500 0.500 0.101
7 Hg 0.500 0.500 0.300
8 Hg 0.500 0.500 0.500
9 Hg 0.500 0.500 0.700
10 Hg 0.500 0.500 0.899

- Look up the volume of the third one.
  20.79 Å³/atom

- Which formula does entry 1 have?
  Ac2Ge4IrPd3